<one>
Below is a relaxed structure of Ba8Li2Mg, with properties calculated at the PBE level.

- V: 1132.7 Å³ per cell
- Magnetization: 0.00 μB/f.u.
- Crystal system: monoclinic

a b c (Å): 21.7932 6.3066 8.7370
angles (deg): 90.00 109.39 90.00
With the nearest neighbours (Å) after each atom.
Space group C2/m (No. 12)
Symmetry-distinct sites (fractional):
Ba 0.0281 0.0000 0.2898 [4 per cell]  1 Li 3.64, 2 Mg 3.80
Ba 0.0924 0.5000 0.9454 [4 per cell]  1 Mg 3.74, 2 Li 3.98, 2 Ba 4.18
Ba 0.1667 0.5000 0.4658 [4 per cell]  3 Li 3.62-3.97, 1 Mg 3.74
Ba 0.1966 0.0000 0.8052 [4 per cell]  1 Li 3.61
Li 0.1802 0.0000 0.2030 [4 per cell]  7 Ba 3.61-3.98
Mg 0.0000 0.5000 0.5000 [2 per cell]  8 Ba 3.74-3.80

=====

<two>
Below is a relaxed structure of Ba8Li2Mg, with properties calculated at the PBE level.

- V: 1131.4 Å³ per cell
- Magnetization: 0.00 μB/f.u.
- Crystal system: orthorhombic

a b c (Å): 6.3156 10.7207 16.7108
angles (deg): 90.00 90.00 90.00
With the nearest neighbours (Å) after each atom.
Space group Immm (No. 71)
Symmetry-distinct sites (fractional):
Ba 0.0000 0.0000 0.1296 [4 per cell]  2 Mg 3.83, 2 Ba 4.09, 2 Li 4.24
Ba 0.0000 0.2204 0.3450 [8 per cell]  3 Li 3.84-4.02, 1 Mg 3.96, 2 Ba 4.11
Ba 0.0000 0.3232 0.0000 [4 per cell]  7 Ba 3.79-4.11, 2 Li 3.86
Li 0.0000 0.5000 0.2012 [4 per cell]  10 Ba 3.84-4.24
Mg 0.0000 0.5000 0.5000 [2 per cell]  8 Ba 3.83-3.96

=====

Energies in eV/atom, measured from the most stable structure: <one> 0.000; <two> 0.038.

=====

<one>
Below is a relaxed structure of Ba3LiMg, with properties calculated at the PBE level.

- V: 316.3 Å³ per cell
- Magnetization: 0.00 μB/f.u.
- Crystal system: cubic

a b c (Å): 6.8136 6.8136 6.8136
angles (deg): 90.00 90.00 90.00
With the nearest neighbours (Å) after each atom.
Space group Pm-3m (No. 221)
Symmetry-distinct sites (fractional):
Ba 0.0000 0.0000 0.5000 [3 per cell]  2 Mg 3.41
Li 0.5000 0.5000 0.5000 [1 per cell]  12 Ba 4.82
Mg 0.0000 0.0000 0.0000 [1 per cell]  6 Ba 3.41

=====

<two>
Below is a relaxed structure of Ba3LiMg, with properties calculated at the PBE level.

- V: 937.9 Å³ per cell
- Magnetization: 0.00 μB/f.u.
- Crystal system: orthorhombic

a b c (Å): 6.2007 24.4125 6.1960
angles (deg): 90.00 90.00 90.00
With the nearest neighbours (Å) after each atom.
Space group Cmcm (No. 63)
Symmetry-distinct sites (fractional):
Ba 0.0000 0.0699 0.2500 [4 per cell]  2 Mg 3.78, 2 Li 3.79
Ba 0.0000 0.2496 0.2500 [4 per cell]  4 Li 3.80-3.81, 4 Mg 3.82-3.83
Ba 0.0000 0.4292 0.2500 [4 per cell]  2 Mg 3.76, 2 Li 3.78
Li 0.0000 0.3407 0.7500 [4 per cell]  8 Ba 3.78-3.81
Mg 0.0000 0.1582 0.7500 [4 per cell]  8 Ba 3.76-3.83

=====

Energies in eV/atom, measured from the most stable structure: <one> 0.278; <two> 0.000.

=====

<one>
Below is a relaxed structure of Ba4LiMg, with properties calculated at the PBE level.

- V: 1275.6 Å³ per cell
- Magnetization: 0.09 μB/f.u.
- Crystal system: cubic

a b c (Å): 10.8453 10.8453 10.8453
angles (deg): 90.00 90.00 90.00
With the nearest neighbours (Å) after each atom.
Space group F-43m (No. 216)
Symmetry-distinct sites (fractional):
Ba 0.1255 0.1255 0.1255 [16 per cell]  6 Ba 3.82-3.85
Li 0.2500 0.2500 0.7500 [4 per cell]  12 Ba 4.50, 4 Mg 4.70
Mg 0.0000 0.0000 0.5000 [4 per cell]  12 Ba 4.49, 4 Li 4.70

=====

<two>
Below is a relaxed structure of Ba4LiMg, with properties calculated at the PBE level.

- V: 1002.1 Å³ per cell
- Magnetization: 0.05 μB/f.u.
- Crystal system: trigonal

a b c (Å): 6.1911 6.1911 30.1929
angles (deg): 90.00 90.00 120.00
With the nearest neighbours (Å) after each atom.
Space group R-3m (No. 166, hexagonal axes)
Symmetry-distinct sites (fractional):
Ba 0.0000 0.0000 0.1227 [6 per cell]  1 Mg 3.71, 3 Li 3.81
Ba 0.0000 0.0000 0.3725 [6 per cell]  3 Mg 3.76, 1 Li 3.85
Li 0.0000 0.0000 0.5000 [3 per cell]  8 Ba 3.81-3.85
Mg 0.0000 0.0000 0.0000 [3 per cell]  8 Ba 3.71-3.76

=====

Energies in eV/atom, measured from the most stable structure: <one> 0.250; <two> 0.000.

=====

<one>
Below is a relaxed structure of BaLi2Mg3, with properties calculated at the PBE level.

- V: 348.7 Å³ per cell
- Magnetization: 0.00 μB/f.u.
- Crystal system: hexagonal

a b c (Å): 5.0813 5.0813 15.5954
angles (deg): 90.00 90.00 120.00
With the nearest neighbours (Å) after each atom.
Space group P6_3/mmc (No. 194)
Symmetry-distinct sites (fractional):
Ba 0.0000 0.0000 0.2500 [2 per cell]  6 Li 3.77, 8 Mg 3.90-3.94
Li 0.3333 0.6667 0.0985 [4 per cell]  4 Mg 2.81-2.95
Mg 0.0000 0.0000 0.0000 [2 per cell]  6 Mg 3.20, 6 Li 3.31
Mg 0.3333 0.6667 0.5815 [4 per cell]  4 Li 2.81-2.95

=====

<two>
Below is a relaxed structure of BaLi2Mg3, with properties calculated at the PBE level.

- V: 508.8 Å³ per cell
- Magnetization: 0.00 μB/f.u.
- Crystal system: hexagonal

a b c (Å): 10.9728 10.9728 4.8797
angles (deg): 90.00 90.00 120.00
With the nearest neighbours (Å) after each atom.
Space group P6/mmm (No. 191)
Symmetry-distinct sites (fractional):
Ba 0.0000 0.0000 0.0000 [1 per cell]  6 Li 3.52
Ba 0.3333 0.6667 0.5000 [2 per cell]  6 Li 3.72, 12 Mg 3.84-4.00
Li 0.1854 0.3709 0.0000 [6 per cell]  6 Mg 3.01-3.02
Mg 0.0000 0.3025 0.5000 [6 per cell]  4 Li 3.02, 4 Mg 3.26-3.32
Mg 0.0000 0.5000 0.0000 [3 per cell]  4 Li 3.01, 4 Mg 3.26

=====

Energies in eV/atom, measured from the most stable structure: <one> 0.028; <two> 0.000.

=====

<one>
Below is a relaxed structure of BaLi5Mg, with properties calculated at the PBE level.

- V: 738.6 Å³ per cell
- Magnetization: 0.00 μB/f.u.
- Crystal system: orthorhombic

a b c (Å): 9.7745 6.1682 12.2499
angles (deg): 90.00 90.00 90.00
With the nearest neighbours (Å) after each atom.
Space group Pnma (No. 62)
Symmetry-distinct sites (fractional):
Ba 0.2377 0.2500 0.0637 [4 per cell]  11 Li 3.51-3.86, 2 Mg 3.81-3.86
Li 0.0563 0.7500 0.1006 [4 per cell]  4 Li 2.93-3.17, 1 Mg 3.07
Li 0.0646 0.0042 0.3101 [8 per cell]  7 Li 2.95-3.14, 2 Mg 3.27-3.29
Li 0.0998 0.2500 0.5152 [4 per cell]  5 Li 2.95-3.10, 1 Mg 3.13
Li 0.1826 0.2500 0.7546 [4 per cell]  7 Li 2.93-3.17
Mg 0.1453 0.7500 0.8600 [4 per cell]  8 Li 3.07-3.36

=====

<two>
Below is a relaxed structure of BaLi5Mg, with properties calculated at the PBE level.

- V: 190.4 Å³ per cell
- Magnetization: 0.00 μB/f.u.
- Crystal system: tetragonal

a b c (Å): 4.2020 4.2020 10.7808
angles (deg): 90.00 90.00 90.00
With the nearest neighbours (Å) after each atom.
Space group P4/mmm (No. 123)
Symmetry-distinct sites (fractional):
Ba 0.0000 0.0000 0.0000 [1 per cell]  8 Li 3.77, 4 Ba 4.20
Li 0.0000 0.0000 0.5000 [1 per cell]  4 Mg 2.97, 8 Li 3.08
Li 0.0000 0.5000 0.2907 [4 per cell]  6 Li 2.97-3.08, 2 Mg 3.08
Mg 0.5000 0.5000 0.5000 [1 per cell]  12 Li 2.97-3.08

=====

Energies in eV/atom, measured from the most stable structure: <one> 0.000; <two> 0.045.

=====

<one>
Below is a relaxed structure of Ba4LiMg3, with properties calculated at the PBE level.

- V: 336.8 Å³ per cell
- Magnetization: 0.00 μB/f.u.
- Crystal system: tetragonal

a b c (Å): 4.3930 4.3930 17.4527
angles (deg): 90.00 90.00 90.00
With the nearest neighbours (Å) after each atom.
Space group P4/mmm (No. 123)
Symmetry-distinct sites (fractional):
Ba 0.0000 0.0000 0.1249 [2 per cell]  8 Mg 3.79-3.80
Ba 0.0000 0.0000 0.3723 [2 per cell]  4 Mg 3.77, 4 Li 3.82
Li 0.5000 0.5000 0.5000 [1 per cell]  8 Ba 3.82
Mg 0.5000 0.5000 0.0000 [1 per cell]  8 Ba 3.80
Mg 0.5000 0.5000 0.2496 [2 per cell]  8 Ba 3.77-3.79

=====

<two>
Below is a relaxed structure of Ba4LiMg3, with properties calculated at the PBE level.

- V: 353.1 Å³ per cell
- Magnetization: 0.00 μB/f.u.
- Crystal system: orthorhombic

a b c (Å): 4.6767 5.6329 13.4039
angles (deg): 90.00 90.00 90.00
With the nearest neighbours (Å) after each atom.
Space group Pmm2 (No. 25)
Symmetry-distinct sites (fractional):
Ba 0.0000 0.0000 0.0000 [1 per cell]  2 Li 3.62, 5 Mg 3.83-3.89
Ba 0.0000 0.5000 0.2933 [1 per cell]  3 Mg 3.66-3.87, 4 Li 3.84
Ba 0.5000 0.0000 0.4998 [1 per cell]  6 Mg 3.66-3.82, 1 Li 3.93
Ba 0.5000 0.5000 0.7941 [1 per cell]  7 Mg 3.68-3.88
Li 0.5000 0.0000 0.2065 [1 per cell]  2 Mg 3.26, 2 Ba 3.62
Mg 0.0000 0.0000 0.7100 [1 per cell]  2 Mg 3.30, 2 Ba 3.66
Mg 0.0000 0.5000 0.5821 [1 per cell]  2 Mg 3.30, 2 Ba 3.68
Mg 0.5000 0.5000 0.0836 [1 per cell]  2 Li 3.26

=====

Energies in eV/atom, measured from the most stable structure: <one> 0.000; <two> 0.034.